No. 1
This record from the Alexandria database describes an optimized crystal structure of NaNiN2. The functional is GGA-PBE.

The structure in CIF format:
```
data_NaNiN2
_space_group_name_H-M_alt 'R -3 m'
_space_group_IT_number 166
_space_group_name_Hall '-R 3 2"'
_cell_length_a 2.9881
_cell_length_b 2.9881
_cell_length_c 18.6741
_cell_angle_alpha 90.00
_cell_angle_beta 90.00
_cell_angle_gamma 120.00
loop_
_atom_site_label
_atom_site_fract_x
_atom_site_fract_y
_atom_site_fract_z
Na1 0.0000 0.0000 0.0000
Ni1 0.0000 0.0000 0.5000
N1 0.0000 0.0000 0.1192
```

No. 2
This record from the Alexandria database describes an optimized crystal structure of NaNiN2. The functional is GGA-PBE.

The structure in CIF format:
```
data_NaNiN2
_space_group_name_H-M_alt 'F m -3 m'
_space_group_IT_number 225
_space_group_name_Hall '-F 4 2 3'
_cell_length_a 5.256
_cell_length_b 5.256
_cell_length_c 5.256
_cell_angle_alpha 90.00
_cell_angle_beta 90.00
_cell_angle_gamma 90.00
loop_
_atom_site_label
_atom_site_fract_x
_atom_site_fract_y
_atom_site_fract_z
Na1 0.000 0.000 0.000
Ni1 0.000 0.000 0.500
N1 0.250 0.250 0.250
```

No. 3
This record from the Alexandria database describes an optimized crystal structure of Na4Np3NiN8. The functional is GGA-PBE.

The structure in CIF format:
```
data_Na4Np3NiN8
_space_group_name_H-M_alt 'C 1 2/m 1'
_space_group_IT_number 12
_cell_length_a 12.396
_cell_length_b 6.374
_cell_length_c 6.646
_cell_angle_alpha 90.00
_cell_angle_beta 121.54
_cell_angle_gamma 90.00
loop_
_space_group_symop_operation_xyz
'x,y,z'
'-x,-y,-z'
'-x,y,-z'
'x,-y,z'
'x+1/2,y+1/2,z'
'-x+1/2,-y+1/2,-z'
'-x+1/2,y+1/2,-z'
'x+1/2,-y+1/2,z'
loop_
_atom_site_label
_atom_site_fract_x
_atom_site_fract_y
_atom_site_fract_z
Na1 0.000 0.000 0.000
Na2 0.000 0.500 0.000
Na3 0.250 0.250 0.000
Np1 0.000 0.000 0.500
Np2 0.250 0.250 0.500
Ni1 0.000 0.500 0.500
N1 0.032 0.258 0.338
N2 0.220 0.000 0.275
N3 0.225 0.000 0.690
```

Number 1: formation energy (no corrections) 753 meV per atom. Number 2: formation energy (no corrections) 1191 meV per atom. Number 3: formation energy (no corrections) -572 meV per atom.